Record 1
Co3Au after structural relaxation. Source: Alexandria, functional GGA-PBE.

**D(E_F)**: 1.493 states/eV/atom
**Crystal system**: tetragonal
**Mass density**: 12.0 g/cm3
**Total energy**: -5.975 eV/atom

abc: 2.710 2.710 7.023
angles: 90.00 90.00 90.00
Space group P4/mmm (No. 123)
Symmetry-distinct sites (fractional):
Co 0.000 0.000 0.000
Co 0.500 0.500 0.216
Au 0.000 0.000 0.500


Record 2
RhAuS2 after structural relaxation. Source: Alexandria, functional GGA-PBE.

**D(E_F)**: 0.754 states/eV/atom
**Crystal system**: tetragonal
**Mass density**: 7.4 g/cm3
**Total energy**: -4.717 eV/atom
**Uncorrected formation energy**: 0.003 eV per atom

abc: 5.764 5.764 9.887
angles: 90.00 90.00 90.00
Space group I-42d (No. 122)
Symmetry-distinct sites (fractional):
Rh 0.000 0.000 0.000
Au 0.000 0.000 0.500
S 0.216 0.250 0.125


Record 3
SmGdMnHg after structural relaxation. Source: Alexandria, functional GGA-PBE.

**D(E_F)**: 1.383 states/eV/atom
**Crystal system**: cubic
**Mass density**: 9.2 g/cm3
**Total energy**: -7.114 eV/atom

abc: 7.414 7.414 7.414
angles: 90.00 90.00 90.00
Space group F-43m (No. 216)
Symmetry-distinct sites (fractional):
Sm 0.000 0.000 0.000
Gd 0.000 0.000 0.500
Mn 0.250 0.250 0.750
Hg 0.250 0.250 0.250


Record 4
TcOs2W after structural relaxation. Source: Alexandria, functional GGA-PBE.

**D(E_F)**: 1.147 states/eV/atom
**Crystal system**: orthorhombic
**Offset from the most stable computed form**: 5.9 kJ per mole of atoms
**Mass density**: 18.5 g/cm3
**Total energy**: -11.398 eV/atom

abc: 5.518 7.800 2.763
angles: 90.00 90.00 90.00
Space group Cmmm (No. 65)
Symmetry-distinct sites (fractional):
Tc 0.000 0.000 0.000
Os 0.250 0.250 0.500
W 0.000 0.500 0.000


Record 5
TmSc2Co after structural relaxation. Source: Alexandria, functional GGA-PBE.

**D(E_F)**: 1.239 states/eV/atom
**Crystal system**: tetragonal
**Offset from the most stable computed form**: 7.8 kJ per mole of atoms
**Mass density**: 6.2 g/cm3
**Total energy**: -6.190 eV/atom

abc: 3.196 3.196 8.338
angles: 90.00 90.00 90.00
Space group P4/mmm (No. 123)
Symmetry-distinct sites (fractional):
Tm 0.000 0.000 0.000
Sc 0.500 0.500 0.319
Co 0.000 0.000 0.500


Record 6
RbCd3Bi3 after structural relaxation. Source: Alexandria, functional GGA-PBE.

**D(E_F)**: 0.130 states/eV/atom
**Crystal system**: monoclinic
**Offset from the most stable computed form**: 0.0 kJ per mole of atoms
**Mass density**: 6.6 g/cm3
**Total energy**: -2.287 eV/atom

abc: 9.461 5.045 11.839
angles: 90.00 110.77 90.00
Space group P2_1/m (No. 11)
Symmetry-distinct sites (fractional):
Rb 0.146 0.250 0.286
Cd 0.107 0.750 0.536
Cd 0.135 0.250 0.928
Cd 0.474 0.750 0.270
Bi 0.192 0.250 0.691
Bi 0.193 0.750 0.066
Bi 0.428 0.750 0.550


Record 7
Tm4Sb2Pd after structural relaxation. Source: Alexandria, functional GGA-PBE.

**D(E_F)**: 0.388 states/eV/atom
**Crystal system**: tetragonal
**Mass density**: 8.5 g/cm3
**Total energy**: -5.158 eV/atom
**Uncorrected formation energy**: -0.683 eV per atom

abc: 9.192 9.192 9.493
angles: 90.00 90.00 90.00
Space group I4_1/amd (No. 141, origin choice 2)
Symmetry-distinct sites (fractional):
Tm 0.000 0.046 0.185
Sb 0.000 0.000 0.500
Pd 0.000 0.250 0.875


Record 8
MoPt2Br after structural relaxation. Source: Alexandria, functional GGA-PBE.

**D(E_F)**: 0.630 states/eV/atom
**Crystal system**: orthorhombic
**Offset from the most stable computed form**: 16.8 kJ per mole of atoms
**Mass density**: 12.2 g/cm3
**Total energy**: -5.925 eV/atom
**Uncorrected formation energy**: 0.222 eV per atom

abc: 2.827 3.041 17.881
angles: 90.00 90.00 90.00
Space group Imm2 (No. 44)
Symmetry-distinct sites (fractional):
Mo 0.000 0.000 0.000
Pt 0.000 0.000 0.405
Pt 0.000 0.500 0.115
Br 0.000 0.500 0.770


Record 9
KTc2Au after structural relaxation. Source: Alexandria, functional GGA-PBE.

**D(E_F)**: 1.055 states/eV/atom
**Crystal system**: orthorhombic
**Offset from the most stable computed form**: 48.8 kJ per mole of atoms
**Mass density**: 8.2 g/cm3
**Total energy**: -5.347 eV/atom

abc: 3.117 5.572 10.028
angles: 90.00 90.00 90.00
Space group Imm2 (No. 44)
Symmetry-distinct sites (fractional):
K 0.000 0.000 0.000
Tc 0.000 0.000 0.529
Tc 0.000 0.500 0.197
Au 0.000 0.500 0.795


Record 10
HfBe9Os2 after structural relaxation. Source: Alexandria, functional GGA-PBE.

**D(E_F)**: 0.474 states/eV/atom
**Crystal system**: hexagonal
**Mass density**: 9.1 g/cm3
**Total energy**: -5.798 eV/atom

abc: 4.4155 4.4155 13.9045
angles: 90.00 90.00 120.00
Space group P6_3/mmc (No. 194)
Symmetry-distinct sites (fractional):
Hf 0.3333 0.6667 0.2500
Be 0.0000 0.0000 0.0000
Be 0.0000 0.0000 0.2500
Be 0.1704 0.3407 0.6201
Be 0.3333 0.6667 0.7500
Os 0.3333 0.6667 0.0369


Record 11
LaVZn3 after structural relaxation. Source: Alexandria, functional GGA-PBE.

**D(E_F)**: 0.558 states/eV/atom
**Crystal system**: cubic
**Offset from the most stable computed form**: 0.0 kJ per mole of atoms
**Mass density**: 5.7 g/cm3
**Total energy**: -3.403 eV/atom

abc: 4.827 4.827 4.827
angles: 90.00 90.00 90.00
Space group Pm-3m (No. 221)
Symmetry-distinct sites (fractional):
La 0.000 0.000 0.000
V 0.500 0.500 0.500
Zn 0.000 0.500 0.500


Record 12
MgAs2SeBr after structural relaxation. Source: Alexandria, functional GGA-PBE.

**D(E_F)**: 1.011 states/eV/atom
**Crystal system**: tetragonal
**Offset from the most stable computed form**: 6.0 kJ per mole of atoms
**Mass density**: 4.2 g/cm3
**Total energy**: -2.682 eV/atom
**Uncorrected formation energy**: 0.528 eV per atom

abc: 5.182 5.182 4.859
angles: 90.00 90.00 90.00
Space group P4/mmm (No. 123)
Symmetry-distinct sites (fractional):
Mg 0.000 0.000 0.000
As 0.000 0.500 0.000
Se 0.000 0.000 0.500
Br 0.500 0.500 0.500


Record 13
CoOs after structural relaxation. Source: Alexandria, functional GGA-PBE.

**D(E_F)**: 1.082 states/eV/atom
**Crystal system**: hexagonal
**Mass density**: 16.3 g/cm3
**Total energy**: -9.033 eV/atom

abc: 2.6663 2.6663 4.1126
angles: 90.00 90.00 120.00
Space group P-6m2 (No. 187)
Symmetry-distinct sites (fractional):
Co 0.0000 0.0000 0.0000
Os 0.6667 0.3333 0.5000


Record 14
Be2NbMo2Ru5 after structural relaxation. Source: Alexandria, functional GGA-PBE.

**D(E_F)**: 0.283 states/eV/atom
**Crystal system**: tetragonal
**Mass density**: 9.9 g/cm3
**Total energy**: -8.709 eV/atom

abc: 9.423 9.423 3.054
angles: 90.00 90.00 90.00
Space group P4/mbm (No. 127)
Symmetry-distinct sites (fractional):
Be 0.121 0.379 0.000
Nb 0.000 0.000 0.000
Mo 0.176 0.676 0.000
Ru 0.000 0.500 0.500
Ru 0.073 0.213 0.500


Record 15
NiHg2P2 after structural relaxation. Source: Alexandria, functional GGA-PBE.

**D(E_F)**: 0.454 states/eV/atom
**Crystal system**: tetragonal
**Offset from the most stable computed form**: 38.9 kJ per mole of atoms
**Mass density**: 9.3 g/cm3
**Total energy**: -3.078 eV/atom

abc: 3.230 3.230 17.830
angles: 90.00 90.00 90.00
Space group I4/mmm (No. 139)
Symmetry-distinct sites (fractional):
Ni 0.000 0.000 0.000
Hg 0.000 0.000 0.412
P 0.000 0.500 0.250


Record 16
AcCe2In2 after structural relaxation. Source: Alexandria, functional GGA-PBE.

**D(E_F)**: 2.261 states/eV/atom
**Crystal system**: tetragonal
**Offset from the most stable computed form**: 1.7 kJ per mole of atoms
**Mass density**: 8.0 g/cm3
**Total energy**: -4.551 eV/atom

abc: 9.278 9.278 3.566
angles: 90.00 90.00 90.00
Space group P4/mbm (No. 127)
Symmetry-distinct sites (fractional):
Ac 0.000 0.000 0.000
Ce 0.103 0.397 0.000
In 0.188 0.688 0.500


Record 17
Ce2ErAl after structural relaxation. Source: Alexandria, functional GGA-PBE.

**D(E_F)**: 2.238 states/eV/atom
**Crystal system**: tetragonal
**Offset from the most stable computed form**: 2.7 kJ per mole of atoms
**Mass density**: 7.7 g/cm3
**Total energy**: -5.197 eV/atom

abc: 4.515 4.515 5.015
angles: 90.00 90.00 90.00
Space group P4/mmm (No. 123)
Symmetry-distinct sites (fractional):
Ce 0.000 0.500 0.000
Er 0.000 0.000 0.500
Al 0.500 0.500 0.500


Record 18
Be3SiMo after structural relaxation. Source: Alexandria, functional GGA-PBE.

**D(E_F)**: 1.042 states/eV/atom
**Crystal system**: cubic
**Offset from the most stable computed form**: 0.0 kJ per mole of atoms
**Mass density**: 3.9 g/cm3
**Total energy**: -4.391 eV/atom
**Uncorrected formation energy**: 1.096 eV per atom

abc: 4.004 4.004 4.004
angles: 90.00 90.00 90.00
Space group Pm-3m (No. 221)
Symmetry-distinct sites (fractional):
Be 0.000 0.000 0.500
Si 0.000 0.000 0.000
Mo 0.500 0.500 0.500


Record 19
Ca2Tl8Cd after structural relaxation. Source: Alexandria, functional GGA-PBE.

**D(E_F)**: 0.829 states/eV/atom
**Crystal system**: tetragonal
**Offset from the most stable computed form**: 0.0 kJ per mole of atoms
**Mass density**: 9.3 g/cm3
**Total energy**: -2.303 eV/atom

abc: 5.146 5.146 12.349
angles: 90.00 90.00 90.00
Space group P4/mmm (No. 123)
Symmetry-distinct sites (fractional):
Ca 0.000 0.000 0.182
Tl 0.000 0.500 0.000
Tl 0.000 0.500 0.362
Tl 0.500 0.500 0.182
Cd 0.000 0.000 0.500


Record 20
DyThTe2S after structural relaxation. Source: Alexandria, functional GGA-PBE.

**D(E_F)**: 0.318 states/eV/atom
**Crystal system**: tetragonal
**Mass density**: 7.9 g/cm3
**Total energy**: -5.986 eV/atom
**Uncorrected formation energy**: -1.499 eV per atom

abc: 4.372 4.372 14.913
angles: 90.00 90.00 90.00
Space group P4/nmm (No. 129, origin choice 2)
Symmetry-distinct sites (fractional):
Dy 0.250 0.250 0.085
Th 0.250 0.250 0.618
Te 0.250 0.250 0.296
Te 0.250 0.250 0.877
S 0.250 0.750 0.500